ScCdSe2 | PBE | optimized geometry

## Properties
Crystal system ... orthorhombic
Space-group type ... Immm, No. 71
Density of states at the Fermi level ... 4.7 states/eV per cell

Unit cell a=3.987 b=6.118 c=7.787 alpha=90.00 beta=90.00 gamma=90.00
Sites, in units of the cell vectors:
Sc 0.000 0.000 0.000
Sc 0.500 0.500 0.500
Cd 0.000 0.000 0.500
Cd 0.500 0.500 0.000
Se 0.000 0.500 0.268
Se 0.000 0.500 0.732
Se 0.500 0.000 0.232
Se 0.500 0.000 0.768

ScCdSe2 | PBE | optimized geometry

## Properties
Crystal system ... cubic
Space-group type ... F-43m, No. 216
Density of states at the Fermi level ... 12.7 states/eV per cell

Unit cell a=7.040 b=7.040 c=7.040 alpha=90.00 beta=90.00 gamma=90.00
Sites, in units of the cell vectors:
Sc 0.000 0.000 0.000
Sc 0.000 0.500 0.500
Sc 0.500 0.000 0.500
Sc 0.500 0.500 0.000
Cd 0.250 0.250 0.750
Cd 0.250 0.750 0.250
Cd 0.750 0.250 0.250
Cd 0.750 0.750 0.750
Se 0.000 0.000 0.500
Se 0.000 0.500 0.000
Se 0.250 0.250 0.250
Se 0.250 0.750 0.750
Se 0.500 0.000 0.000
Se 0.500 0.500 0.500
Se 0.750 0.250 0.750
Se 0.750 0.750 0.250

ScCd4Se | PBE | optimized geometry

## Properties
Crystal system ... cubic
Space-group type ... F-43m, No. 216
Density of states at the Fermi level ... 5.0 states/eV per cell

Unit cell a=5.826 b=5.826 c=5.826 alpha=60.00 beta=60.00 gamma=60.00
Sites, in units of the cell vectors:
Sc 0.000 0.000 0.000
Cd 0.375 0.375 0.375
Cd 0.375 0.375 0.876
Cd 0.375 0.876 0.375
Cd 0.876 0.375 0.375
Se 0.750 0.750 0.750

Sc3CdSe | PBE | optimized geometry

## Properties
Crystal system ... cubic
ΔE to the lowest computed polymorph ... 771 meV per atom
Space-group type ... Pm-3m, No. 221
Density of states at the Fermi level ... 6.1 states/eV per cell

Unit cell a=5.238 b=5.238 c=5.238 alpha=90.00 beta=90.00 gamma=90.00
Sites, in units of the cell vectors:
Sc 0.000 0.000 0.500
Sc 0.000 0.500 0.000
Sc 0.500 0.000 0.000
Cd 0.000 0.000 0.000
Se 0.500 0.500 0.500

ScCdSe2 | PBE | optimized geometry

## Properties
Crystal system ... trigonal
Space-group type ... R-3m, No. 166
Density of states at the Fermi level ... 6.6 states/eV per cell

Unit cell a=3.896 b=3.896 c=25.156 alpha=90.00 beta=90.00 gamma=120.00
Sites, in units of the cell vectors:
Sc 0.000 0.000 0.000
Sc 0.333 0.667 0.667
Sc 0.667 0.333 0.333
Cd 0.000 0.000 0.500
Cd 0.333 0.667 0.167
Cd 0.667 0.333 0.833
Se 0.000 0.000 0.393
Se 0.000 0.000 0.607
Se 0.333 0.667 0.060
Se 0.333 0.667 0.274
Se 0.667 0.333 0.726
Se 0.667 0.333 0.940

Sc3CdSe | PBE | optimized geometry

## Properties
Crystal system ... cubic
ΔE to the lowest computed polymorph ... 0 meV per atom
Space-group type ... Pm-3m, No. 221
Density of states at the Fermi level ... 2.6 states/eV per cell

Unit cell a=4.993 b=4.993 c=4.993 alpha=90.00 beta=90.00 gamma=90.00
Sites, in units of the cell vectors:
Sc 0.000 0.000 0.500
Sc 0.000 0.500 0.000
Sc 0.500 0.000 0.000
Cd 0.500 0.500 0.500
Se 0.000 0.000 0.000

Number 1: magnetic moment 0.00 μB/atom, E_tot -4.24 eV per atom, formation energy from raw total energies -0.686 eV per atom. Number 2: magnetic moment 0.00 μB/atom, E_tot -3.81 eV per atom, formation energy from raw total energies -0.261 eV per atom. Number 3: magnetic moment 0.00 μB/atom, E_tot -2.20 eV per atom, formation energy from raw total energies 0.047 eV per atom. Number 4: magnetic moment 0.00 μB/atom, E_tot -4.41 eV per atom, formation energy from raw total energies 0.265 eV per atom. Number 5: magnetic moment 0.00 μB/atom, E_tot -4.57 eV per atom, formation energy from raw total energies -1.015 eV per atom. Number 6: magnetic moment 0.00 μB/atom, E_tot -5.18 eV per atom, formation energy from raw total energies -0.505 eV per atom.